! Cd2CoF | the Alexandria database | PBE+U | relaxed; values from VASP
&SYSTEM
  ibrav = 0, nat = 4, ntyp = 3
/
ATOMIC_SPECIES
F 19.00 F.upf
Co 58.93 Co.upf
Cd 112.41 Cd.upf
ATOMIC_POSITIONS crystal
F 0.000 0.000 0.000
Co 0.500 0.500 0.500
Cd 0.250 0.250 0.250
Cd 0.750 0.750 0.750
CELL_PARAMETERS angstrom
0.442 2.913 3.582
-3.631 2.525 1.397
-2.074 -0.957 4.037
! Relative energy among the computed polymorphs   114 meV/atom


! Cd2Co2F | the Alexandria database | PBE+U | relaxed; values from VASP
&SYSTEM
  ibrav = 0, nat = 5, ntyp = 3
/
ATOMIC_SPECIES
F 19.00 F.upf
Co 58.93 Co.upf
Cd 112.41 Cd.upf
ATOMIC_POSITIONS crystal
F 0.000 0.000 0.000
Co 0.750 0.250 0.500
Co 0.250 0.750 0.500
Cd 0.399 0.399 0.203
Cd 0.601 0.601 0.797
CELL_PARAMETERS angstrom
-0.391 -0.169 -3.302
3.232 -0.722 -0.346
-0.166 -7.816 -1.260
! Relative energy among the computed polymorphs   0 meV/atom


! CdCoF4 | the Alexandria database | PBE+U | relaxed; values from VASP
&SYSTEM
  ibrav = 0, nat = 12, ntyp = 3
/
ATOMIC_SPECIES
Cd 112.41 Cd.upf
Co 58.93 Co.upf
F 19.00 F.upf
ATOMIC_POSITIONS crystal
Cd 0.000 0.000 0.000
Cd 0.500 0.500 0.000
Co 0.500 0.000 0.500
Co 0.000 0.500 0.500
F 0.863 0.652 0.176
F 0.637 0.152 0.824
F 0.304 0.319 0.345
F 0.196 0.819 0.655
F 0.137 0.348 0.824
F 0.363 0.848 0.176
F 0.696 0.681 0.655
F 0.804 0.181 0.345
CELL_PARAMETERS angstrom
-3.513 0.050 4.020
-3.670 -2.264 -3.179
1.825 -4.854 1.350
! Relative energy among the computed polymorphs   0 meV/atom


! CdCo2F | the Alexandria database | PBE+U | relaxed; values from VASP
&SYSTEM
  ibrav = 0, nat = 4, ntyp = 3
/
ATOMIC_SPECIES
F 19.00 F.upf
Co 58.93 Co.upf
Cd 112.41 Cd.upf
ATOMIC_POSITIONS crystal
F 0.000 0.000 0.000
Co 0.250 0.250 0.250
Co 0.750 0.750 0.750
Cd 0.500 0.500 0.500
CELL_PARAMETERS angstrom
0.000 3.136 3.136
3.136 0.000 3.136
3.136 3.136 0.000
! Relative energy among the computed polymorphs   219 meV/atom


! Cd3CoF | the Alexandria database | PBE+U | relaxed; values from VASP
&SYSTEM
  ibrav = 0, nat = 5, ntyp = 3
/
ATOMIC_SPECIES
F 19.00 F.upf
Co 58.93 Co.upf
Cd 112.41 Cd.upf
ATOMIC_POSITIONS crystal
F 0.000 0.000 0.000
Co 0.500 0.500 0.500
Cd 0.000 0.500 0.000
Cd 0.000 0.000 0.500
Cd 0.500 0.000 0.000
CELL_PARAMETERS angstrom
-0.984 -0.299 4.595
4.588 -0.466 0.952
0.394 4.676 0.389
! Relative energy among the computed polymorphs   0 meV/atom


! CdCo2F6 | the Alexandria database | PBE+U | relaxed; values from VASP
&SYSTEM
  ibrav = 0, nat = 9, ntyp = 3
/
ATOMIC_SPECIES
Cd 112.41 Cd.upf
Co 58.93 Co.upf
F 19.00 F.upf
ATOMIC_POSITIONS crystal
Cd 0.000 0.000 0.000
Co 0.500 0.667 0.333
Co 0.500 0.333 0.667
F 0.726 0.651 0.651
F 0.274 0.651 0.000
F 0.274 0.000 0.651
F 0.726 0.349 0.000
F 0.274 0.349 0.349
F 0.726 0.000 0.349
CELL_PARAMETERS angstrom
4.801 0.000 0.000
0.000 4.651 -2.685
0.000 0.000 5.371
! VASP energy   -4.6319 eV/atom


! CdCoF5 | the Alexandria database | PBE+U | relaxed; values from VASP
&SYSTEM
  ibrav = 0, nat = 7, ntyp = 3
/
ATOMIC_SPECIES
Cd 112.41 Cd.upf
Co 58.93 Co.upf
F 19.00 F.upf
ATOMIC_POSITIONS crystal
Cd 0.500 0.500 0.500
Co 0.000 0.000 0.000
F 0.772 0.228 0.228
F 0.000 0.300 0.700
F 0.500 0.000 0.000
F 0.000 0.700 0.300
F 0.228 0.772 0.772
CELL_PARAMETERS angstrom
-0.331 2.067 3.243
3.303 -2.105 3.976
4.362 3.438 0.550
! Relative energy among the computed polymorphs   0 meV/atom


! CdCoF2 | the Alexandria database | PBE+U | relaxed; values from VASP
&SYSTEM
  ibrav = 0, nat = 4, ntyp = 3
/
ATOMIC_SPECIES
F 19.00 F.upf
Co 58.93 Co.upf
Cd 112.41 Cd.upf
ATOMIC_POSITIONS crystal
F 0.884 0.884 0.884
F 0.116 0.116 0.116
Co 0.500 0.500 0.500
Cd 0.000 0.000 0.000
CELL_PARAMETERS angstrom
1.764 0.000 7.675
-0.882 1.528 7.675
-0.882 -1.528 7.675
! Relative energy among the computed polymorphs   0 meV/atom


! CdCo2F | the Alexandria database | PBE+U | relaxed; values from VASP
&SYSTEM
  ibrav = 0, nat = 8, ntyp = 3
/
ATOMIC_SPECIES
F 19.00 F.upf
Co 58.93 Co.upf
Cd 112.41 Cd.upf
ATOMIC_POSITIONS crystal
F 0.500 0.500 0.000
F 0.250 0.750 0.500
Co 0.478 0.125 0.250
Co 0.272 0.625 0.250
Co 0.375 0.522 0.750
Co 0.875 0.728 0.750
Cd 0.000 0.000 0.000
Cd 0.750 0.250 0.500
CELL_PARAMETERS angstrom
-4.331 -0.111 -1.438
0.457 -4.421 -1.037
-4.021 -3.985 5.174
! Relative energy among the computed polymorphs   0 meV/atom


! Cd3CoF | the Alexandria database | PBE+U | relaxed; values from VASP
&SYSTEM
  ibrav = 0, nat = 5, ntyp = 3
/
ATOMIC_SPECIES
F 19.00 F.upf
Co 58.93 Co.upf
Cd 112.41 Cd.upf
ATOMIC_POSITIONS crystal
F 0.500 0.500 0.500
Co 0.000 0.000 0.000
Cd 0.000 0.500 0.000
Cd 0.000 0.000 0.500
Cd 0.500 0.000 0.000
CELL_PARAMETERS angstrom
5.039 0.000 0.000
0.000 5.039 0.000
0.000 0.000 5.039
! Relative energy among the computed polymorphs   191 meV/atom


! Cd2Co2F | the Alexandria database | PBE+U | relaxed; values from VASP
&SYSTEM
  ibrav = 0, nat = 10, ntyp = 3
/
ATOMIC_SPECIES
F 19.00 F.upf
Co 58.93 Co.upf
Cd 112.41 Cd.upf
ATOMIC_POSITIONS crystal
F 0.000 0.000 0.000
F 0.500 0.500 0.000
Co 0.128 0.628 0.500
Co 0.628 0.872 0.500
Co 0.872 0.372 0.500
Co 0.372 0.128 0.500
Cd 0.330 0.830 0.000
Cd 0.830 0.670 0.000
Cd 0.670 0.170 0.000
Cd 0.170 0.330 0.000
CELL_PARAMETERS angstrom
6.866 0.000 0.000
0.000 6.866 0.000
0.000 0.000 3.780
! Relative energy among the computed polymorphs   107 meV/atom


! CdCo3F | the Alexandria database | PBE+U | relaxed; values from VASP
&SYSTEM
  ibrav = 0, nat = 5, ntyp = 3
/
ATOMIC_SPECIES
F 19.00 F.upf
Co 58.93 Co.upf
Cd 112.41 Cd.upf
ATOMIC_POSITIONS crystal
F 0.000 0.000 0.000
Co 0.000 0.500 0.000
Co 0.000 0.000 0.500
Co 0.500 0.000 0.000
Cd 0.500 0.500 0.500
CELL_PARAMETERS angstrom
-2.198 0.333 -3.586
0.604 -4.107 -0.752
-3.550 -0.905 2.092
! Relative energy among the computed polymorphs   0 meV/atom